Material: NaTmIr4
Method: DFT, PBE-GGA
State: optimized geometry

Unit cell a=5.295 b=5.295 c=5.295 alpha=60.00 beta=60.00 gamma=60.00
Fractional positions:
Na: 0.000 0.000 0.000
Ir: 0.625 0.625 0.125
Ir: 0.625 0.125 0.625
Ir: 0.625 0.625 0.625
Ir: 0.125 0.625 0.625
Tm: 0.250 0.250 0.250

- Calculated formation energy: -366 meV/atom
- E: -7.2382 eV/atom


Material: NaTm2Ir
Method: DFT, PBE-GGA
State: optimized geometry

Unit cell a=3.404 b=3.404 c=9.521 alpha=90.00 beta=90.00 gamma=90.00
Fractional positions:
Na: 0.500 0.500 0.500
Ir: 0.500 0.500 0.000
Tm: 0.000 0.000 0.831
Tm: 0.000 0.000 0.169

- Calculated formation energy: -425 meV/atom
- E: -5.2061 eV/atom


Material: NaV2Ir
Method: DFT, PBE-GGA
State: optimized geometry

Unit cell a=4.388 b=4.388 c=4.388 alpha=60.00 beta=60.00 gamma=60.00
Last column: magnetic moment on the atom in μB.
Fractional positions:
Na: 0.000 0.000 0.000  0.00
Ir: 0.500 0.500 0.500  -0.15
V: 0.250 0.250 0.250  0.79
V: 0.750 0.750 0.750  0.79

- Distance to the lowest polymorph of the same formula: 0.0 meV/atom
- Calculated formation energy: 429 meV/atom
- E: -6.6752 eV/atom


Material: Na3VIr
Method: DFT, PBE-GGA
State: optimized geometry

Unit cell a=5.330 b=5.330 c=5.330 alpha=90.00 beta=90.00 gamma=90.00
Last column: magnetic moment on the atom in μB.
Fractional positions:
Na: 0.000 0.500 0.000  0.03
Na: 0.000 0.000 0.500  0.03
Na: 0.500 0.000 0.000  0.03
Ir: 0.500 0.500 0.500  1.20
V: 0.000 0.000 0.000  3.43

- Distance to the lowest polymorph of the same formula: 456.8 meV/atom
- Calculated formation energy: 1828 meV/atom
- E: -2.5596 eV/atom


Material: NaVIr3
Method: DFT, PBE-GGA
State: optimized geometry

Unit cell a=4.417 b=4.417 c=4.417 alpha=90.00 beta=90.00 gamma=90.00
Last column: magnetic moment on the atom in μB.
Fractional positions:
Na: 0.000 0.000 0.000  -0.01
Ir: 0.000 0.500 0.000  -0.36
Ir: 0.000 0.000 0.500  -0.36
Ir: 0.500 0.000 0.000  -0.36
V: 0.500 0.500 0.500  1.76

- Calculated formation energy: 2114 meV/atom
- E: -5.2902 eV/atom


Material: NaVIr2
Method: DFT, PBE-GGA
State: optimized geometry

Unit cell a=7.093 b=7.093 c=5.705 alpha=51.56 beta=51.56 gamma=90.00
Fractional positions:
Na: 0.500 0.500 0.000
Na: 0.250 0.750 0.500
Ir: 0.676 0.125 0.250
Ir: 0.074 0.625 0.250
Ir: 0.375 0.324 0.750
Ir: 0.875 0.926 0.750
V: 0.000 0.000 0.000
V: 0.750 0.250 0.500

- Calculated formation energy: 365 meV/atom
- E: -6.6745 eV/atom